Compound: LaCeHgIr
Source: Alexandria via LeMat-Bulk
Functional: PBE
Structure: optimized geometry

POSCAR file:
```
LaCeHgIr
1.0
-3.394 -0.723 2.298
3.771 -0.880 1.525
1.481 7.943 0.918
Hg Ce Ir La
1 1 1 1
Direct
0.962 0.379 0.356
0.102 0.949 0.066
0.310 0.553 0.879
0.504 0.150 0.669
```

Properties
- energy relative to the lowest polymorph listed for this composition (meV per atom) = 0
- crystal system = trigonal
- total moment (μB per atom) = 0.115
- ΔE_f (eV/atom) = -0.59
- symmetry = R3m
- calculated volume (Å³/cell) = 116.56

***

Compound: ScBe3Cu
Source: Alexandria via LeMat-Bulk
Functional: PBE
Structure: optimized geometry

POSCAR file:
```
ScBe3Cu
1.0
-1.065 3.442 3.032
-4.535 -1.255 -0.168
0.685 -2.958 3.599
Be Sc Cu
3 1 1
Direct
0.000 0.000 0.500
0.000 0.500 0.000
0.500 0.000 0.000
0.000 0.000 0.000
0.500 0.500 0.500
```

Properties
- energy relative to the lowest polymorph listed for this composition (meV per atom) = 1814
- crystal system = cubic
- total moment (μB per atom) = 0.000
- ΔE_f (eV/atom) = 1.99
- symmetry = Pm-3m
- calculated volume (Å³/cell) = 104.40

***

Compound: Hf3Ti2Al
Source: Alexandria via LeMat-Bulk
Functional: PBE
Structure: optimized geometry

POSCAR file:
```
Hf3Ti2Al
1.0
-1.499 0.160 3.883
-3.928 -0.942 -1.477
3.208 -5.880 1.481
Hf Ti Al
3 2 1
Direct
0.500 0.165 0.330
0.500 0.500 0.000
0.500 0.835 0.670
0.000 0.332 0.664
0.000 0.668 0.336
0.000 0.000 0.000
```

Properties
- energy relative to the lowest polymorph listed for this composition (meV per atom) = 0
- crystal system = orthorhombic
- total moment (μB per atom) = 0.000
- ΔE_f (eV/atom) = -0.12
- symmetry = Cmmm
- calculated volume (Å³/cell) = 116.71

***

Compound: Sm4DyIn2
Source: Alexandria via LeMat-Bulk
Functional: PBE
Structure: optimized geometry

POSCAR file:
```
Sm4DyIn2
1.0
-0.217 -3.080 -7.953
-4.838 -4.208 1.762
-5.055 6.669 2.047
Sm In Dy
8 4 2
Direct
0.103 0.750 0.890
0.897 0.250 0.110
0.559 0.004 0.231
0.441 0.504 0.769
0.043 0.250 0.539
0.441 0.996 0.769
0.559 0.496 0.231
0.957 0.750 0.461
0.811 0.750 0.038
0.673 0.750 0.610
0.189 0.250 0.962
0.327 0.250 0.390
0.253 0.750 0.331
0.747 0.250 0.669
```

Properties
- energy relative to the lowest polymorph listed for this composition (meV per atom) = 0
- crystal system = monoclinic
- total moment (μB per atom) = 0.000
- ΔE_f (eV/atom) = -0.18
- symmetry = P2_1/m
- calculated volume (Å³/cell) = 427.16